A relaxed structure of SmYNi. Source: Alexandria via LeMat-Bulk, functional GGA-PBE.

The total energy comes out at -5.7810 eV/atom. For the density, the calculation gives 5876 kg/m3. The spin magnetization comes out at 0.00 μB per formula unit. For the calculated formation energy, the calculation gives -0.126 eV/atom. The calculation puts the excess energy over the best structure of this formula in the dataset at 105.3 meV per atom.

The space group is P3m1 (No. 156) and the conventional cell measures 3.9387, 3.9387 and 6.2672 Å, with angles of 90.00, 90.00 and 120.00 degrees. The asymmetric unit holds Sm at (0.0000, 0.0000, 0.0000), Y at (0.6667, 0.3333, 0.5138) and Ni at (0.3333, 0.6667, 0.7520).